The following is a GGA-PBE calculation of a geometry-optimized KEr2Te6Pb3 structure, from the Alexandria database.

Calculated values
- electronic total energy (eV/atom) = -4.15
- formation energy from raw total energies (eV/atom) = -0.80
- SG = C2/m (12)

```
12
Lattice="9.9153 -2.2123 0.0000 9.9153 2.2123 0.0000 -1.9893 0.0000 9.5156" Properties=species:S:1:pos:R:3 pbc="T T T"
K 0.0000 0.0000 0.0000
Er 5.2410 0.0000 6.3311
Er 12.6003 0.0000 3.1846
Te 2.2514 0.0000 5.3549
Te 3.3324 0.0000 1.1162
Te 8.1830 0.0000 6.9519
Te 9.6584 0.0000 2.5638
Te 14.5089 0.0000 8.3995
Te 15.5899 0.0000 4.1608
Pb -0.9947 0.0000 4.7578
Pb 6.4515 0.0000 1.5845
Pb 11.3898 0.0000 7.9312
```



The following is a GGA-PBE calculation of a geometry-optimized KErTlPb structure, from the Alexandria database.

Calculated values
- electronic total energy (eV/atom) = -3.02
- SG = F-43m (216)
- E_form (eV per atom) = -0.088

```
4
Lattice="0.0000 3.9562 3.9562 3.9562 0.0000 3.9562 3.9562 3.9562 0.0000" Properties=species:S:1:pos:R:3 pbc="T T T"
K 0.0000 0.0000 0.0000
Er 3.9562 3.9562 3.9562
Tl 1.9781 1.9781 1.9781
Pb 5.9343 5.9343 5.9343
```



The following is a GGA-PBE calculation of a geometry-optimized KPmEr4S8 structure, from the Alexandria database.

Calculated values
- electronic total energy (eV/atom) = -6.00
- formation energy from raw total energies (eV/atom) = -1.92
- SG = R3m (160)

```
14
Lattice="4.0738 2.3520 6.7924 -4.0738 2.3520 6.7924 0.0000 -4.7040 6.7924" Properties=species:S:1:pos:R:3 pbc="T T T"
K 0.0000 0.0000 0.0000
Pm 0.0000 0.0000 12.9031
Er -2.1092 -1.2177 9.3826
Er 0.0000 0.0000 5.1793
Er 2.1092 -1.2177 9.3826
Er 0.0000 2.4355 9.3826
S 0.0000 -2.2468 11.0220
S -1.9458 1.1234 11.0220
S 0.0000 0.0000 7.8626
S -1.7982 -1.0382 14.6870
S 1.9458 1.1234 11.0220
S 0.0000 0.0000 17.5389
S 1.7982 -1.0382 14.6870
S 0.0000 2.0764 14.6870
```



The following is a GGA-PBE calculation of a geometry-optimized KPm2ErSe4 structure, from the Alexandria database.

Calculated values
- electronic total energy (eV/atom) = -5.35
- formation energy from raw total energies (eV/atom) = -1.71
- SG = P2/m (10)

```
8
Lattice="7.3493 0.0000 0.0000 0.0000 4.1699 0.0000 -2.3441 0.0000 6.9967" Properties=species:S:1:pos:R:3 pbc="T T T"
K 0.0000 0.0000 0.0000
Pm 2.5026 0.0000 3.4984
Pm 3.6747 2.0850 0.0000
Er -1.1720 2.0850 3.4984
Se 0.0663 0.0000 5.1490
Se 1.2622 2.0850 1.8728
Se 3.7430 2.0850 5.1239
Se 4.9389 0.0000 1.8477
```



The following is a GGA-PBE calculation of a geometry-optimized K4PmEr3Se8 structure, from the Alexandria database.

Calculated values
- electronic total energy (eV/atom) = -4.92
- formation energy from raw total energies (eV/atom) = -1.76
- SG = R-3m (166)

```
16
Lattice="4.2165 2.4344 7.6830 -4.2165 2.4344 7.6830 0.0000 -4.8688 7.6830" Properties=species:S:1:pos:R:3 pbc="T T T"
K 0.0000 0.0000 0.0000
K -2.1083 -1.2172 7.6830
K -2.1083 1.2172 15.3661
K 0.0000 2.4344 7.6830
Pm 0.0000 0.0000 11.5246
Er -4.2165 0.0000 11.5246
Er -2.1083 1.2172 3.8415
Er 2.1083 1.2172 3.8415
Se -2.1546 -1.2440 13.1054
Se 0.0000 0.0000 5.3982
Se 0.0000 -2.4879 9.9437
Se -2.1546 1.2440 9.9437
Se 2.1546 -1.2440 13.1054
Se 0.0000 2.4879 13.1054
Se 0.0000 0.0000 17.6510
Se 2.1546 1.2440 9.9437
```



The following is a GGA-PBE calculation of a geometry-optimized K4Pm3ErSe8 structure, from the Alexandria database.

Calculated values
- electronic total energy (eV/atom) = -4.95
- formation energy from raw total energies (eV/atom) = -1.76
- SG = R-3m (166)

```
16
Lattice="4.2858 2.4744 7.6965 -4.2858 2.4744 7.6965 0.0000 -4.9488 7.6965" Properties=species:S:1:pos:R:3 pbc="T T T"
K 0.0000 0.0000 0.0000
K -2.1429 -1.2372 7.6965
K -2.1429 1.2372 15.3930
K 0.0000 2.4744 7.6965
Pm -4.2858 0.0000 11.5447
Pm -2.1429 1.2372 3.8482
Pm 2.1429 1.2372 3.8482
Er 0.0000 0.0000 11.5447
Se 0.0000 0.0000 5.4708
Se -2.0949 -1.2095 13.1399
Se 0.0000 -2.4190 9.9496
Se -2.0949 1.2095 9.9496
Se 2.0949 -1.2095 13.1399
Se 0.0000 2.4190 13.1399
Se 2.0949 1.2095 9.9496
Se 0.0000 0.0000 17.6186
```